[1]
An optimized crystal structure of ErNpW. Source: the Open Quantum Materials Database, functional GGA-PBE.

Unit cell a=4.767 b=4.767 c=4.767 alpha=60.00 beta=60.00 gamma=60.00
Site moments in Bohr magnetons follow the coordinates.
Positions (direct):
Er (0.750, 0.750, 0.750)  0.02
W (0.000, 0.000, 0.000)  -0.54
Np (0.250, 0.250, 0.250)  3.44

The energy relative to the lowest polymorph listed for this composition is 0.000 eV/atom. For the final energy, the calculation gives -9.208 eV per atom. As for the space-group type: F-43m (216). The value obtained for the formation energy is 258 kJ/mol of formula units.

[2]
An optimized crystal structure of SmTlCoSe3. Source: the Open Quantum Materials Database, functional GGA-PBE.

Unit cell a=11.645 b=4.203 c=12.412 alpha=90.00 beta=90.00 gamma=90.00
Site moments in Bohr magnetons follow the coordinates.
Positions (direct):
Sm (0.520, 0.000, 0.825)  0.02
Sm (0.020, 0.000, 0.675)  0.02
Sm (0.980, 0.500, 0.325)  0.02
Sm (0.480, 0.500, 0.175)  0.02
Se (0.953, 0.000, 0.164)  0.09
Se (0.279, 0.000, 0.710)  0.13
Se (0.609, 0.000, 0.058)  0.08
Se (0.779, 0.000, 0.790)  0.14
Se (0.721, 0.500, 0.290)  0.13
Se (0.221, 0.500, 0.210)  0.14
Se (0.047, 0.500, 0.836)  0.09
Se (0.547, 0.500, 0.664)  0.09
Se (0.109, 0.000, 0.442)  0.08
Se (0.391, 0.500, 0.942)  0.08
Se (0.453, 0.000, 0.336)  0.09
Se (0.891, 0.500, 0.558)  0.08
Tl (0.327, 0.500, 0.504)  0.02
Tl (0.673, 0.000, 0.496)  0.02
Tl (0.173, 0.000, 0.004)  0.02
Tl (0.827, 0.500, 0.996)  0.02
Co (0.248, 0.500, 0.801)  1.93
Co (0.748, 0.500, 0.699)  1.93
Co (0.252, 0.000, 0.301)  1.93
Co (0.752, 0.000, 0.199)  1.93

The energy relative to the lowest polymorph listed for this composition is 0.024 eV/atom. For the final energy, the calculation gives -4.972 eV per atom. As for the space-group type: Pnma (62).

[3]
An optimized crystal structure of GdSiSn. Source: the Open Quantum Materials Database, functional GGA-PBE.

Unit cell a=4.812 b=4.812 c=4.812 alpha=60.00 beta=60.00 gamma=60.00
Positions (direct):
Sn (0.750, 0.750, 0.750)
Si (0.000, 0.000, 0.000)
Gd (0.250, 0.250, 0.250)

The energy relative to the lowest polymorph listed for this composition is 0.000 eV/atom. For the final energy, the calculation gives -4.838 eV per atom. As for the space-group type: F-43m (216).

[4]
An optimized crystal structure of Ge2AsIr. Source: the Open Quantum Materials Database, functional GGA-PBE.

Unit cell a=4.566 b=4.566 c=4.566 alpha=60.00 beta=60.00 gamma=60.00
Positions (direct):
Ge (0.250, 0.250, 0.250)
Ge (0.000, 0.000, 0.000)
As (0.750, 0.750, 0.750)
Ir (0.500, 0.500, 0.500)

For the final energy, the calculation gives -5.428 eV per atom. As for the space-group type: F-43m (216).

[5]
An optimized crystal structure of TaAgW2. Source: the Open Quantum Materials Database, functional GGA-PBE.

Unit cell a=4.574 b=4.574 c=4.574 alpha=60.00 beta=60.00 gamma=60.00
Positions (direct):
W (0.250, 0.250, 0.250)
W (0.000, 0.000, 0.000)
Ag (0.500, 0.500, 0.500)
Ta (0.750, 0.750, 0.750)

For the final energy, the calculation gives -9.686 eV per atom. As for the space-group type: F-43m (216). The value obtained for the formation energy is 179 kJ/mol of formula units.

[6]
An optimized crystal structure of CsTaTeAuSe2. Source: the Open Quantum Materials Database, functional GGA-PBE.

Unit cell a=8.896 b=8.896 c=10.560 alpha=90.00 beta=90.00 gamma=155.26
Site moments in Bohr magnetons follow the coordinates.
Positions (direct):
Au (0.042, 0.958, 0.750)  0.00
Au (0.958, 0.042, 0.250)  0.00
Cs (0.270, 0.730, 0.250)  0.00
Cs (0.730, 0.270, 0.750)  0.00
Se (0.894, 0.106, 0.034)  0.00
Se (0.894, 0.106, 0.466)  0.00
Se (0.106, 0.894, 0.966)  0.00
Se (0.106, 0.894, 0.534)  0.00
Ta (0.500, 0.500, 0.000)  0.13
Ta (0.500, 0.500, 0.500)  0.13
Te (0.577, 0.423, 0.250)  0.00
Te (0.423, 0.577, 0.750)  0.00

For the final energy, the calculation gives -4.852 eV per atom. As for the space-group type: Cmcm (63).